No. 1
This record from Alexandria via LeMat-Bulk describes a relaxed structure of HgRhF4. The functional is PBE-GGA.

Properties
E_form (uncorrected)   -7.84 eV per formula unit
Calculated density   6.55 g cm⁻³
Spin magnetization   0.0 μB/f.u.

a b c (Å): 9.689 3.094 7.850
angles (deg): 90.00 125.10 90.00
Space group C2/m (No. 12)
One atom of each set of equivalent atoms:
Hg 0.000 0.000 0.000 x2
Rh 0.000 0.500 0.500 x2
F 0.076 0.500 0.795 x4
F 0.158 0.000 0.565 x4

---

No. 2
This record from Alexandria via LeMat-Bulk describes a relaxed structure of Hg2RhF. The functional is PBE-GGA.

Properties
E_form (uncorrected)   -0.82 eV per formula unit
Calculated density   12.50 g cm⁻³
Spin magnetization   0.0 μB/f.u.

a b c (Å): 6.525 6.525 6.525
angles (deg): 90.00 90.00 90.00
Space group Fm-3m (No. 225)
One atom of each set of equivalent atoms:
Hg 0.250 0.250 0.250 x8
Rh 0.000 0.000 0.000 x4
F 0.000 0.000 0.500 x4

---

No. 3
This record from Alexandria via LeMat-Bulk describes a relaxed structure of SnHg2RhF. The functional is PBE-GGA.

Properties
E_form (uncorrected)   1.78 eV per formula unit
Calculated density   6.65 g cm⁻³
Spin magnetization   1.7 μB/f.u.

a b c (Å): 5.605 5.605 5.101
angles (deg): 90.00 90.00 90.00
Space group P4/mmm (No. 123)
One atom of each set of equivalent atoms:
Sn 0.000 0.000 0.000 x1
Hg 0.000 0.500 0.000 x2
Rh 0.000 0.000 0.500 x1
F 0.500 0.500 0.500 x1

---

No. 4
This record from Alexandria via LeMat-Bulk describes a relaxed structure of TcHgRh2F. The functional is PBE-GGA.

Properties
E_form (uncorrected)   3.38 eV per formula unit
Calculated density   10.85 g cm⁻³
Spin magnetization   2.5 μB/f.u.

a b c (Å): 4.478 4.478 3.994
angles (deg): 90.00 90.00 90.00
Space group P4/mmm (No. 123)
One atom of each set of equivalent atoms:
Tc 0.000 0.000 0.000 x1
Hg 0.500 0.500 0.000 x1
Rh 0.000 0.500 0.500 x2
F 0.000 0.000 0.500 x1